[1]
# Pm15MgTl4

Crystalline Pm15MgTl4 at its relaxed geometry (PBE, Alexandria via LeMat-Bulk).

Cell and atoms, written as extended XYZ:
```
20
Lattice="4.9657 0.0000 0.0000 0.0000 4.9657 0.0000 0.0000 0.0000 24.9061" Properties=species:S:1:pos:R:3 pbc="T T T"
Pm 2.4829 0.0000 2.5101
Pm 2.4829 2.4829 4.9660
Pm 0.0000 2.4829 22.3959
Pm 0.0000 2.4829 12.4530
Pm 2.4829 0.0000 12.4530
Pm 2.4829 0.0000 7.4822
Pm 0.0000 2.4829 2.5101
Pm 2.4829 2.4829 19.9400
Pm 2.4829 2.4829 0.0000
Pm 0.0000 2.4829 17.4239
Pm 0.0000 2.4829 7.4822
Pm 2.4829 2.4829 9.9770
Pm 2.4829 0.0000 22.3959
Pm 2.4829 2.4829 14.9291
Pm 2.4829 0.0000 17.4239
Mg 0.0000 0.0000 0.0000
Tl 0.0000 0.0000 19.8906
Tl 0.0000 0.0000 14.9394
Tl 0.0000 0.0000 9.9666
Tl 0.0000 0.0000 5.0155
```

Computed properties:
energy of formation	-0.1595	eV per atom
E_tot	-4.275	eV/atom

=====

[2]
# PmMgTl2

Crystalline PmMgTl2 at its relaxed geometry (PBE, Alexandria via LeMat-Bulk).

Cell and atoms, written as extended XYZ:
```
4
Lattice="3.6589 0.0000 0.0000 0.0000 3.6589 0.0000 0.0000 0.0000 7.8761" Properties=species:S:1:pos:R:3 pbc="T T T"
Mg 1.8295 1.8295 0.0000
Tl 0.0000 0.0000 6.0814
Tl 0.0000 0.0000 1.7946
Pm 1.8295 1.8295 3.9380
```

Computed properties:
energy of formation	-0.2258	eV per atom
E_tot	-2.995	eV/atom

=====

[3]
# Pm3MgTl4

Crystalline Pm3MgTl4 at its relaxed geometry (PBE, Alexandria via LeMat-Bulk).

Cell and atoms, written as extended XYZ:
```
8
Lattice="3.6531 0.0000 0.0000 0.0000 3.6531 0.0000 0.0000 0.0000 16.5947" Properties=species:S:1:pos:R:3 pbc="T T T"
Tl 0.0000 0.0000 14.8289
Tl 0.0000 0.0000 1.7658
Tl 0.0000 0.0000 10.4916
Tl 0.0000 0.0000 6.1032
Pm 1.8266 1.8266 3.9502
Pm 1.8266 1.8266 12.6445
Pm 1.8266 1.8266 8.2974
Mg 1.8266 1.8266 0.0000
```

Computed properties:
energy of formation	-0.3026	eV per atom
energy above the lowest structure with this stoichiometry	0	meV per atom
E_tot	-3.467	eV/atom

=====

[4]
# Pm2MgTl9

Crystalline Pm2MgTl9 at its relaxed geometry (PBE, Alexandria via LeMat-Bulk).

Cell and atoms, written as extended XYZ:
```
12
Lattice="-0.4397 -2.6564 3.9987 4.8000 -0.3082 0.3230 0.2315 11.9492 7.9634" Properties=species:S:1:pos:R:3 pbc="T T T"
Tl -0.1825 0.5989 3.2837
Tl 2.3348 6.4995 7.4802
Tl -0.0257 8.6939 8.6785
Tl 2.1802 -1.4823 2.1608
Tl 2.4373 1.7730 1.4458
Tl 2.5157 5.8205 4.1432
Tl -0.1041 4.6464 5.9811
Tl 2.5942 9.8680 6.8406
Tl 2.2570 2.4851 4.8049
Pm 0.0777 4.0097 2.6722
Pm 0.1538 7.9395 5.2912
Mg 0.0000 0.0000 0.0000
```

Computed properties:
energy of formation	-0.1741	eV per atom
E_tot	-2.873	eV/atom

=====

[5]
# PmMg4Tl5

Crystalline PmMg4Tl5 at its relaxed geometry (PBE, Alexandria via LeMat-Bulk).

Cell and atoms, written as extended XYZ:
```
10
Lattice="3.7059 0.0000 0.0000 0.0000 3.7059 0.0000 0.0000 0.0000 18.5541" Properties=species:S:1:pos:R:3 pbc="T T T"
Pm 0.0000 0.0000 0.0000
Mg 0.0000 0.0000 14.6993
Mg 0.0000 0.0000 3.8548
Mg 0.0000 0.0000 7.4479
Mg 0.0000 0.0000 11.1062
Tl 1.8530 1.8530 9.2770
Tl 1.8530 1.8530 2.1018
Tl 1.8530 1.8530 12.8966
Tl 1.8530 1.8530 5.6575
Tl 1.8530 1.8530 16.4522
```

Computed properties:
energy of formation	-0.1056	eV per atom
E_tot	-2.402	eV/atom

=====

[6]
# PmMg4Tl7

Crystalline PmMg4Tl7 at its relaxed geometry (PBE, Alexandria via LeMat-Bulk).

Cell and atoms, written as extended XYZ:
```
12
Lattice="-6.0090 -0.3335 -0.0232 -2.5685 -7.8391 -2.6670 -2.7975 -4.3058 5.8663" Properties=species:S:1:pos:R:3 pbc="T T T"
Tl -5.5514 -8.7655 2.6514
Tl -8.5166 -9.5047 0.6727
Tl -8.6854 -6.6384 3.1990
Tl -2.6896 -5.8400 -0.0228
Tl -5.8236 -3.7129 0.5247
Tl -3.0045 -0.1667 -0.0116
Tl -2.8584 -2.9737 2.5034
Mg -2.8472 -2.9624 -0.5727
Mg -8.5278 -9.5160 3.7489
Mg -5.6320 -7.1434 0.2173
Mg -5.7430 -5.3350 2.9588
Pm 0.0000 0.0000 0.0000
```

Computed properties:
energy of formation	0.0065	eV per atom
E_tot	-2.301	eV/atom

=====

[7]
# Pm2Mg2Tl

Crystalline Pm2Mg2Tl at its relaxed geometry (PBE, Alexandria via LeMat-Bulk).

Cell and atoms, written as extended XYZ:
```
5
Lattice="-2.4537 -1.3700 4.4796 1.6782 -3.7385 -3.3587 5.7296 -6.0388 1.2571" Properties=species:S:1:pos:R:3 pbc="T T T"
Pm 2.1607 -4.8436 -1.8789
Pm 2.7934 -6.3037 4.2570
Mg 2.1007 -4.0947 1.4391
Mg 2.8534 -7.0525 0.9390
Tl 0.8391 -1.8693 -1.6793
```

Computed properties:
energy of formation	-0.1769	eV per atom
E_tot	-3.188	eV/atom

=====

[8]
# Pm5MgTl8

Crystalline Pm5MgTl8 at its relaxed geometry (PBE, Alexandria via LeMat-Bulk).

Cell and atoms, written as extended XYZ:
```
14
Lattice="-4.9819 -5.0427 -3.9695 1.3507 -2.9919 7.4316 -3.2986 7.3887 0.7292" Properties=species:S:1:pos:R:3 pbc="T T T"
Tl 0.2886 -2.6920 5.0184
Tl -7.0948 0.0669 -2.5759
Tl -5.2465 2.0588 1.3054
Tl -2.3292 0.6609 1.0861
Tl -1.5588 1.1564 5.3635
Tl -5.0264 -1.8998 -1.0374
Tl -2.0276 -2.6071 2.7511
Tl -4.7241 0.6724 4.8539
Mg -3.0440 2.7849 3.2703
Pm -4.8837 -1.1614 2.1736
Pm -4.0719 -5.1747 3.0749
Pm -4.1402 1.1730 -1.6202
Pm -1.8335 -2.2155 -0.5027
Pm -4.7537 -5.1715 -1.0619
```

Computed properties:
energy of formation	-0.2380	eV per atom
E_tot	-3.401	eV/atom

=====

[9]
# Pm9MgTl2

Crystalline Pm9MgTl2 at its relaxed geometry (PBE, Alexandria via LeMat-Bulk).

Cell and atoms, written as extended XYZ:
```
12
Lattice="4.9810 0.0000 0.0000 0.0000 4.9810 0.0000 0.0000 0.0000 14.9181" Properties=species:S:1:pos:R:3 pbc="T T T"
Pm 2.4905 2.4905 4.9454
Pm 0.0000 2.4905 7.4591
Pm 0.0000 2.4905 2.4994
Pm 2.4905 2.4905 9.9728
Pm 2.4905 0.0000 12.4187
Pm 2.4905 0.0000 7.4591
Pm 2.4905 0.0000 2.4994
Pm 0.0000 2.4905 12.4187
Pm 2.4905 2.4905 0.0000
Tl 0.0000 0.0000 9.9182
Tl 0.0000 0.0000 4.9999
Mg 0.0000 0.0000 0.0000
```

Computed properties:
energy of formation	-0.1308	eV per atom
E_tot	-4.221	eV/atom

=====

[10]
# PmMg3Tl6

Crystalline PmMg3Tl6 at its relaxed geometry (PBE, Alexandria via LeMat-Bulk).

Cell and atoms, written as extended XYZ:
```
20
Lattice="-0.8971 4.6321 -1.7498 0.4278 -4.5076 -12.1522 -8.2389 1.3140 7.7024" Properties=species:S:1:pos:R:3 pbc="T T T"
Mg -7.6347 2.5858 -0.0947
Mg -4.4615 0.2871 -0.5707
Mg -6.0196 -1.2001 -3.7089
Mg -4.2467 1.1514 -5.6289
Mg -1.0735 -1.1473 -6.1049
Mg -2.6885 2.6386 -2.4906
Tl -4.2027 -1.8524 -6.3671
Tl -7.3021 0.3705 -6.1297
Tl -1.1476 1.9026 -5.2290
Tl -4.5054 3.2909 0.1676
Tl -1.4061 1.0680 -0.0698
Tl -6.2700 0.9403 2.0858
Tl -2.4382 0.4981 -8.2854
Tl -7.5606 -0.4642 -0.9706
Tl -5.8217 1.8661 -2.9293
Tl -2.8865 -0.4276 -3.2703
Tl -0.8759 -0.3054 -11.2136
Tl -7.8323 1.7439 5.0140
Pm -2.5607 -2.6684 -9.3691
Pm -6.1475 4.1068 3.1695
```

Computed properties:
energy of formation	-0.0950	eV per atom
E_tot	-2.468	eV/atom

=====

[11]
# PmTm2MgTl4

Crystalline PmTm2MgTl4 at its relaxed geometry (PBE, Alexandria via LeMat-Bulk).

Cell and atoms, written as extended XYZ:
```
8
Lattice="-4.5959 2.5443 -0.1586 -3.5442 -1.2040 -3.6891 -6.2954 -5.6845 4.1599" Properties=species:S:1:pos:R:3 pbc="T T T"
Tm -3.6663 -1.1844 0.1653
Tm -10.7691 -3.1599 0.1468
Tl -5.9091 0.0677 -1.8321
Tl -8.5263 -4.4120 2.1443
Tl -9.4947 -0.9785 -1.7895
Tl -4.9407 -3.3658 2.1016
Mg -7.2177 -2.1722 0.1561
Pm 0.0000 0.0000 0.0000
```

Computed properties:
energy of formation	-0.2719	eV per atom
E_tot	-3.366	eV/atom

=====

[12]
# PmYMgTl

Crystalline PmYMgTl at its relaxed geometry (PBE, Alexandria via LeMat-Bulk).

Cell and atoms, written as extended XYZ:
```
4
Lattice="5.4065 0.0000 0.0000 2.7033 4.6822 0.0000 2.7033 1.5607 4.4144" Properties=species:S:1:pos:R:3 pbc="T T T"
Pm 2.7033 1.5607 1.1036
Tl 0.0000 0.0000 0.0000
Y 8.1098 4.6822 3.3108
Mg 5.4065 3.1215 2.2072
```

Computed properties:
energy of formation	-0.2674	eV per atom
E_tot	-4.061	eV/atom

=====

[13]
# PmMgTlZn

Crystalline PmMgTlZn at its relaxed geometry (PBE, Alexandria via LeMat-Bulk).

Cell and atoms, written as extended XYZ:
```
4
Lattice="5.1442 0.0000 0.0000 2.5721 4.4550 0.0000 2.5721 1.4850 4.2002" Properties=species:S:1:pos:R:3 pbc="T T T"
Mg 2.5721 1.4850 1.0501
Tl 5.1442 2.9700 2.1001
Pm 7.7163 4.4550 3.1502
Zn 0.0000 0.0000 0.0000
```

Computed properties:
energy of formation	-0.2743	eV per atom
E_tot	-2.771	eV/atom

=====

[14]
# PmTm2Mg

Crystalline PmTm2Mg at its relaxed geometry (PBE, Alexandria via LeMat-Bulk).

Cell and atoms, written as extended XYZ:
```
8
Lattice="4.8654 0.0144 -1.3498 -0.3909 4.8497 -1.3498 0.1411 0.1534 9.9382" Properties=species:S:1:pos:R:3 pbc="T T T"
Pm 1.6991 1.8471 1.4198
Pm 2.9166 3.1705 5.8188
Tm 2.5033 0.0839 4.2942
Tm -0.1249 2.5016 4.2942
Tm 3.9152 4.2561 -0.0073
Tm 0.7005 0.7615 7.2459
Mg 0.9241 3.6401 -1.3498
Mg 3.5505 1.2241 -1.3498
```

Computed properties:
energy of formation	-0.0264	eV per atom
energy above the lowest structure with this stoichiometry	0	meV per atom
E_tot	-3.848	eV/atom

=====

[15]
# Pm12Tm2Mg

Crystalline Pm12Tm2Mg at its relaxed geometry (PBE, Alexandria via LeMat-Bulk).

Cell and atoms, written as extended XYZ:
```
30
Lattice="-3.1224 3.8070 4.3139 0.5179 -4.7024 4.5247 21.8000 9.5089 7.3870" Properties=species:S:1:pos:R:3 pbc="T T T"
Pm 7.2633 4.1800 9.8363
Pm 7.2875 3.1787 2.4694
Pm 10.6299 3.9859 10.8087
Pm 3.2889 1.5549 5.9750
Pm 0.6509 -0.2043 7.4437
Pm 8.9098 1.5022 8.4243
Pm 12.1059 2.8567 7.9067
Pm 1.4709 1.3706 2.9965
Pm 13.2102 5.8825 9.3369
Pm 19.0268 7.6906 8.8099
Pm -0.0217 2.6512 5.7528
Pm 17.2423 8.3702 13.2012
Pm 9.1649 3.2266 5.4517
Pm 15.9066 7.0586 10.2506
Pm 17.3970 10.2171 10.3675
Pm 11.3328 5.8347 6.3547
Pm 7.5185 5.9043 6.8636
Pm 9.8569 6.9639 9.2566
Pm 4.5911 2.0026 1.5557
Pm 17.2088 7.5063 5.8313
Pm 5.9853 2.7311 6.8887
Pm 14.5124 6.3301 4.9176
Pm 18.8721 5.8438 11.6437
Pm 2.1435 -1.4849 4.6873
Tm 16.1953 4.6001 7.6624
Tm 14.3751 8.8547 7.5571
Tm 4.3025 4.4612 4.1439
Tm 6.1226 0.2065 4.2493
Mg 0.2590 -2.3512 2.2623
Mg -1.5612 1.9035 2.1570
```

Computed properties:
energy of formation	0.3028	eV per atom
E_tot	-4.200	eV/atom

=====

[16]
# Pm8TmMg6

Crystalline Pm8TmMg6 at its relaxed geometry (PBE, Alexandria via LeMat-Bulk).

Cell and atoms, written as extended XYZ:
```
15
Lattice="9.2312 0.0000 0.0000 4.6156 7.9945 0.0000 4.6156 2.6648 6.5956" Properties=species:S:1:pos:R:3 pbc="T T T"
Pm 6.1413 5.2859 4.2694
Pm 10.8141 2.6756 4.2694
Pm 13.8468 7.9945 6.5887
Pm 7.7242 2.6318 2.3262
Pm 4.6156 2.6648 0.0068
Pm 7.6484 7.9837 2.3262
Pm 10.7383 8.0275 4.2694
Pm 12.3212 5.3734 2.3262
Tm 0.0000 0.0000 0.0000
Mg 10.7818 7.9968 0.9213
Mg 7.6807 2.6625 5.6743
Mg 7.6967 8.0060 5.6743
Mg 12.3163 5.3204 5.6743
Mg 6.1462 5.3389 0.9213
Mg 10.7658 2.6533 0.9213
```

Computed properties:
energy of formation	0.1614	eV per atom
E_tot	-3.308	eV/atom

=====

[17]
# PmTm6Mg2

Crystalline PmTm6Mg2 at its relaxed geometry (PBE, Alexandria via LeMat-Bulk).

Cell and atoms, written as extended XYZ:
```
9
Lattice="4.8061 0.0000 0.0000 0.0000 4.8061 0.0000 0.0000 0.0000 11.9776" Properties=species:S:1:pos:R:3 pbc="T T T"
Mg 2.4030 2.4030 10.6057
Mg 2.4030 2.4030 1.3718
Pm 0.0000 0.0000 0.0000
Tm 2.4030 2.4030 5.9888
Tm 2.4030 0.0000 3.4888
Tm 0.0000 2.4030 8.4888
Tm 0.0000 2.4030 3.4888
Tm 2.4030 0.0000 8.4888
Tm 0.0000 0.0000 5.9888
```

Computed properties:
energy of formation	0.1452	eV per atom
E_tot	-3.718	eV/atom

=====

[18]
# Pm3Tm2Mg8

Crystalline Pm3Tm2Mg8 at its relaxed geometry (PBE, Alexandria via LeMat-Bulk).

Cell and atoms, written as extended XYZ:
```
13
Lattice="-0.6063 5.7998 -0.2889 -4.3270 2.3293 -3.1527 -9.0925 2.4300 8.8683" Properties=species:S:1:pos:R:3 pbc="T T T"
Pm -5.0039 2.5836 3.3704
Pm 0.0000 0.0000 0.0000
Pm -9.0219 7.9756 2.0563
Mg -7.9600 6.7741 5.1175
Mg -11.0892 7.8980 4.8364
Mg -2.9366 2.6612 0.5903
Mg -9.8260 5.0337 3.6813
Mg -4.1998 5.5254 1.7454
Mg -6.3698 6.6936 0.1643
Mg -6.0658 3.7850 0.3092
Mg -7.6560 3.8655 5.2624
Tm -10.1556 5.1616 6.9395
Tm -3.8702 5.3976 -1.5128
```

Computed properties:
energy of formation	0.1150	eV per atom
E_tot	-2.651	eV/atom

=====

[19]
# PmTm2Mg3

Crystalline PmTm2Mg3 at its relaxed geometry (PBE, Alexandria via LeMat-Bulk).

Cell and atoms, written as extended XYZ:
```
6
Lattice="-3.3450 -1.4949 -0.9362 0.2604 -2.4037 2.9077 -5.2602 7.5613 6.7217" Properties=species:S:1:pos:R:3 pbc="T T T"
Mg 0.0000 0.0000 0.0000
Mg -1.7048 2.4505 2.1784
Mg -3.5554 5.1107 4.5432
Tm -2.3963 -0.7217 2.0771
Tm -5.9485 4.3844 6.6162
Pm -4.1724 1.8314 4.3466
```

Computed properties:
energy of formation	-0.0699	eV per atom
E_tot	-3.150	eV/atom

=====

[20]
# PmTm14Mg

Crystalline PmTm14Mg at its relaxed geometry (PBE, Alexandria via LeMat-Bulk).

Cell and atoms, written as extended XYZ:
```
16
Lattice="-4.1432 -5.3360 1.8626 6.6835 -1.1849 -1.7422 3.0461 1.3850 10.7434" Properties=species:S:1:pos:R:3 pbc="T T T"
Tm -2.0386 -4.4756 4.0579
Tm 2.9005 -0.7729 -0.7227
Tm 6.2209 -1.3622 -1.5882
Tm 2.8455 -4.3618 8.5977
Tm 4.1630 -4.0137 -0.6629
Tm 1.3209 -5.0550 3.2205
Tm -0.4931 -3.7729 9.5089
Tm 1.5790 -1.1109 8.5377
Tm 4.9083 -1.7032 7.6386
Tm 3.8837 -4.0442 5.3130
Tm 2.5996 -0.7478 5.2521
Tm 3.4000 -2.3890 2.3189
Tm 0.0545 -1.8041 3.1605
Tm 0.8156 -3.4347 0.2115
Mg 5.9512 -1.3571 4.3804
Pm 0.4877 -3.4519 6.1995
```

Computed properties:
energy of formation	0.0144	eV per atom
E_tot	-4.295	eV/atom